(1)
# CaZnTc (PBE, relaxed)
# E_tot	-4.250	eV per atom
# density of states at the Fermi level	7.30	states/eV/cell
# E above lowest polymorph	0.0	meV/atom
data_CaZnTc
_cell_length_a 3.403
_cell_length_b 3.403
_cell_length_c 10.279
_cell_angle_alpha 90.00
_cell_angle_beta 90.00
_cell_angle_gamma 90.00
_symmetry_space_group_name_H-M 'I 4 m m'
_symmetry_Int_Tables_number 107
_symmetry_space_group_name_Hall 'I 4 -2'
loop_
_atom_site_label
_atom_site_type_symbol
_atom_site_fract_x
_atom_site_fract_y
_atom_site_fract_z
Ca1 Ca 0.000 0.000 0.000
Zn1 Zn 0.000 0.000 0.712
Tc1 Tc 0.000 0.000 0.297



(2)
# BaLa8Co4 (PBE, relaxed)
# E_tot	-5.462	eV per atom
# density of states at the Fermi level	20.35	states/eV/cell
data_BaLa8Co4
_cell_length_a 14.124
_cell_length_b 14.124
_cell_length_c 4.206
_cell_angle_alpha 90.00
_cell_angle_beta 90.00
_cell_angle_gamma 90.00
_symmetry_space_group_name_H-M 'I 4/m'
_symmetry_Int_Tables_number 87
_symmetry_space_group_name_Hall '-I 4'
loop_
_atom_site_label
_atom_site_type_symbol
_atom_site_fract_x
_atom_site_fract_y
_atom_site_fract_z
Ba1 Ba 0.000 0.000 0.000
La1 La 0.044 0.663 0.000
La2 La 0.152 0.196 0.500
Co1 Co 0.150 0.326 0.000